# 1
The following is a PBE-GGA calculation of a geometry-optimized NdCdNi structure, from Alexandria via LeMat-Bulk.

abc: 4.1261 5.2637 6.6122
angles: 101.09 108.18 90.00
Fractional positions:
Ni (0.7716, 0.1385, 0.5432)
Ni (0.2284, 0.8615, 0.4568)
Cd (0.5824, 0.7761, 0.1647)
Cd (0.4176, 0.2239, 0.8353)
Nd (0.8659, 0.6947, 0.7318)
Nd (0.1341, 0.3053, 0.2682)

Summary:
E_form: -0.3211 eV per atom

---

# 2
The following is a PBE-GGA calculation of a geometry-optimized ZrMnAlPt2 structure, from Alexandria via LeMat-Bulk.

abc: 4.9826 4.8426 4.9826
angles: 90.00 90.00 90.00
Fractional positions:
Mn (0.0000, 0.5000, 0.0000)
Zr (0.0000, 0.0000, 0.0000)
Pt (0.0000, 0.0000, 0.5000)
Pt (0.5000, 0.0000, 0.0000)
Al (0.5000, 0.5000, 0.5000)

Summary:
E_form: 0.9303 eV per atom

---

# 3
The following is a PBE-GGA calculation of a geometry-optimized KMgSn2Hg2 structure, from Alexandria via LeMat-Bulk.

abc: 5.0231 5.0231 8.0721
angles: 90.00 90.00 120.00
Fractional positions:
K (0.0000, 0.0000, 0.0000)
Mg (0.0000, 0.0000, 0.5000)
Sn (0.6667, 0.3333, 0.7013)
Sn (0.3333, 0.6667, 0.2987)
Hg (0.6667, 0.3333, 0.3048)
Hg (0.3333, 0.6667, 0.6952)

Summary:
E_form: -0.1164 eV per atom

---

# 4
The following is a PBE-GGA calculation of a geometry-optimized MnBeSb2 structure, from Alexandria via LeMat-Bulk.

abc: 4.9799 4.9799 4.9799
angles: 126.58 126.58 78.93
Fractional positions:
Sb (0.0000, 0.0000, 0.0000)
Sb (0.5000, 0.5000, 0.0000)
Mn (0.7500, 0.2500, 0.5000)
Be (0.2500, 0.7500, 0.5000)

Summary:
VASP energy: -4.755 eV/atom

---

# 5
The following is a PBE-GGA calculation of a geometry-optimized CeB2Os structure, from Alexandria via LeMat-Bulk.

abc: 3.2885 5.0440 12.1844
angles: 90.00 90.00 90.00
Fractional positions:
Ce (0.7500, 0.2500, 0.0235)
Ce (0.2500, 0.7500, 0.9765)
Ce (0.7500, 0.7500, 0.4765)
Ce (0.2500, 0.2500, 0.5235)
B (0.2500, 0.9288, 0.3206)
B (0.7500, 0.0712, 0.6794)
B (0.2500, 0.4288, 0.1794)
B (0.7500, 0.5712, 0.8206)
B (0.2500, 0.0715, 0.1794)
B (0.7500, 0.9285, 0.8206)
B (0.2500, 0.5715, 0.3206)
B (0.7500, 0.4285, 0.6794)
Os (0.7500, 0.2501, 0.2939)
Os (0.2500, 0.7499, 0.7061)
Os (0.7500, 0.7501, 0.2061)
Os (0.2500, 0.2499, 0.7939)

Summary:
E above lowest polymorph: 27.1 kJ per mole of atoms
E_form: -0.2600 eV per atom

---

# 6
The following is a PBE-GGA calculation of a geometry-optimized Ca2La2Sb structure, from Alexandria via LeMat-Bulk.

abc: 8.1407 8.1407 5.7533
angles: 90.00 90.00 90.00
Fractional positions:
Sb (0.0000, 0.0000, 0.0000)
Sb (0.5000, 0.5000, 0.0000)
Ca (0.1664, 0.6664, 0.5000)
Ca (0.6664, 0.8336, 0.5000)
Ca (0.8336, 0.3336, 0.5000)
Ca (0.3336, 0.1664, 0.5000)
La (0.3661, 0.8661, 0.0000)
La (0.8661, 0.6339, 0.0000)
La (0.6339, 0.1339, 0.0000)
La (0.1339, 0.3661, 0.0000)

Summary:
E above lowest polymorph: 0.0 kJ per mole of atoms

---

Mass density list, top to bottom, in Mg/m³: 7.84; 7.78; 6.61; 6.63; 11.57; 4.18